This record from Alexandria describes a relaxed structure of Zr3Tl. The functional is PBEsol.

Properties
Its formation energy is -122 meV/atom. The density of states at the Fermi level is 3.56 states/eV/f.u. Its volume is 21.878 Å³ per atom. Its uncorrected energy is -7.60 eV/atom.

Cell: 5.169 5.591 6.056 Å, 90.00 90.00 90.00°
Element x y z (fractional)
Tl 0.000 0.341 0.000
Tl 0.500 0.659 0.500
Zr 0.500 0.646 0.000
Zr 0.000 0.354 0.500
Zr 0.000 0.852 0.750
Zr 0.000 0.852 0.250
Zr 0.500 0.148 0.250
Zr 0.500 0.148 0.750